Record 1
## Be2CrCBr (PBE)

Data for a relaxed structure of Be2CrCBr.

Structure (extended XYZ):
```
5
Lattice="3.479 0.000 0.000 0.000 7.785 0.000 0.000 0.000 3.479" Properties=species:S:1:pos:R:3 pbc="T T T"
Be 0.000 0.000 1.740
Be 1.740 0.000 0.000
C 0.000 0.000 0.000
Cr 1.740 3.893 1.740
Br 0.000 3.893 0.000
```

Summary:
Raw formation energy ... 10.8 kcal/mol of atoms
Calculated total energy ... -5.13 eV per atom

---

Record 2
## Pm2PrPu3Te6 (PBE)

Data for a relaxed structure of Pm2PrPu3Te6.

Structure (extended XYZ):
```
12
Lattice="4.450 0.000 0.000 0.000 8.926 0.342 -2.225 -2.543 9.378" Properties=species:S:1:pos:R:3 pbc="T T T"
Pr 2.225 0.000 0.000
Pu 0.000 6.607 3.398
Pu 2.225 -0.225 6.321
Pu 2.225 4.463 0.171
Te 2.225 -0.117 3.200
Te 0.000 6.643 0.259
Te 2.225 4.394 3.317
Te 0.000 1.988 6.402
Te 2.225 -0.261 9.460
Te 0.000 6.499 6.519
Pm 0.000 2.149 3.239
Pm 2.225 4.233 6.480
```

Summary:
Raw formation energy ... -29.3 kcal/mol of atoms
Calculated total energy ... -7.61 eV per atom

---

Record 3
## KScB3 (PBE)

Data for a relaxed structure of KScB3.

Structure (extended XYZ):
```
5
Lattice="4.433 0.000 0.000 0.000 4.433 0.000 0.000 0.000 4.433" Properties=species:S:1:pos:R:3 pbc="T T T"
B 0.000 0.000 2.216
B 0.000 2.216 0.000
B 2.216 0.000 0.000
K 0.000 0.000 0.000
Sc 2.216 2.216 2.216
```

Summary:
Formation energy ... 13.72 eV per formula unit
Calculated total energy ... -2.75 eV per atom
Energy above the lowest structure with this stoichiometry ... 1023 meV/atom

---

Record 4
## Co2CuOs (PBE)

Data for a relaxed structure of Co2CuOs.

Structure (extended XYZ):
```
8
Lattice="6.482 0.000 0.000 0.000 6.482 0.000 3.241 3.241 2.531" Properties=species:S:1:pos:R:3 pbc="T T T"
Co 8.103 8.189 1.898
Co 1.535 4.862 0.633
Co 4.948 1.621 0.633
Co 4.862 4.776 1.898
Os 6.482 3.241 1.265
Os 0.000 0.000 0.000
Cu 3.241 6.482 1.265
Cu 3.241 3.241 0.000
```

Summary:
Formation energy ... 3.22 eV per formula unit
Calculated total energy ... -6.58 eV per atom
Energy above the lowest structure with this stoichiometry ... 648 meV/atom

---

Record 5
## Zr2Np3PaAs6 (PBE)

Data for a relaxed structure of Zr2Np3PaAs6.

Structure (extended XYZ):
```
12
Lattice="-5.415 -1.929 3.955 6.495 -1.656 1.938 0.075 6.821 1.364" Properties=species:S:1:pos:R:3 pbc="T T T"
As 0.815 -1.029 4.671
As 0.340 4.266 2.586
As 2.894 2.528 5.100
As -1.164 2.435 5.787
As 2.319 0.802 1.470
As -1.739 0.709 2.157
Np 0.577 1.618 3.628
Np -3.437 1.526 4.308
Np 4.592 1.710 2.948
Zr 2.546 -1.746 2.607
Zr -1.466 -1.838 3.286
Pa 0.000 0.000 0.000
```

Summary:
Formation energy ... -10.92 eV per formula unit
Calculated total energy ... -8.69 eV per atom

---

Record 6
## CaFeS2 (PBE)

Data for a relaxed structure of CaFeS2.

Structure (extended XYZ):
```
4
Lattice="-6.325 4.249 -0.523 -3.945 6.143 2.243 -3.253 6.678 -1.774" Properties=species:S:1:pos:R:3 pbc="T T T"
Fe 0.000 0.000 0.000
Ca -6.762 8.535 -0.027
S -1.330 1.679 -0.005
S -12.193 15.391 -0.049
```

Summary:
Raw formation energy ... -18.0 kcal/mol of atoms
Calculated total energy ... -5.46 eV per atom
Energy above the lowest structure with this stoichiometry ... 187 meV/atom

---

Record 7
## RbYHo4S8 (PBE)

Data for a relaxed structure of RbYHo4S8.

Structure (extended XYZ):
```
14
Lattice="-5.688 -0.335 -5.942 -7.681 -2.369 1.782 -6.145 5.520 -0.132" Properties=species:S:1:pos:R:3 pbc="T T T"
S -4.978 1.083 -0.999
S -14.599 1.977 -3.246
S -7.585 3.394 -1.063
S -7.646 0.625 -4.123
S -8.697 -0.448 -0.047
S -11.698 -0.624 -3.182
S -11.994 2.035 -0.040
S -10.850 3.202 -4.474
Ho -5.902 2.614 -2.948
Ho -9.122 -1.003 -2.618
Ho -3.162 2.775 -0.085
Ho -6.863 1.634 0.774
Rb -10.397 3.844 -1.670
Y -6.121 5.427 -0.150
```

Summary:
Raw formation energy ... -43.8 kcal/mol of atoms
Calculated total energy ... -6.10 eV per atom

---

Record 8
## FeSn2SI (PBE)

Data for a relaxed structure of FeSn2SI.

Structure (extended XYZ):
```
5
Lattice="-2.316 -0.030 -4.513 -4.187 -0.992 2.155 -0.943 4.964 0.452" Properties=species:S:1:pos:R:3 pbc="T T T"
S -3.723 1.971 -0.953
Sn -0.472 2.482 0.226
Sn -1.158 -0.015 -2.257
Fe 0.000 0.000 0.000
I -2.094 -0.496 1.078
```

Summary:
Raw formation energy ... 7.4 kcal/mol of atoms
Calculated total energy ... -4.11 eV per atom

---

| no. | magnetic moment (Bohr magnetons per cell) |
| --- | --- |
| 1 | 4.63 |
| 2 | 5.85 |
| 3 | 0.00 |
| 4 | 4.98 |
| 5 | 3.99 |
| 6 | 4.00 |
| 7 | 0.00 |
| 8 | 1.23 |